# 1
Compound: Rb12Na3I5
Source: Alexandria via LeMat-Bulk
Functional: GGA-PBE
Structure: relaxed

Lattice parameters (Å, degrees): 19.911 19.911 19.911 109.47 109.47 109.47
Fractional coordinates of all 80 atoms:
Rb: 0.961 0.373 0.288
Na: 0.625 0.375 0.750
Rb: 0.086 0.913 0.373
Rb: 0.627 0.587 0.914
Rb: 0.127 0.414 0.087
Rb: 0.788 0.461 0.373
Rb: 0.413 0.039 0.327
Rb: 0.413 0.373 0.586
Rb: 0.373 0.413 0.086
Rb: 0.673 0.212 0.586
Rb: 0.039 0.413 0.827
Rb: 0.327 0.539 0.413
Rb: 0.127 0.712 0.539
Rb: 0.788 0.327 0.914
I: 0.125 0.750 0.375
Na: 0.375 0.625 0.250
Rb: 0.461 0.673 0.087
I: 0.500 0.000 0.000
Rb: 0.039 0.627 0.712
Rb: 0.212 0.539 0.627
I: 0.750 0.125 0.875
I: 0.000 0.500 0.500
Na: 0.250 0.625 0.875
Rb: 0.712 0.127 0.039
Rb: 0.587 0.961 0.673
Rb: 0.373 0.961 0.788
Rb: 0.414 0.288 0.327
I: 0.875 0.250 0.625
I: 0.625 0.875 0.250
Rb: 0.712 0.586 0.173
Na: 0.125 0.875 0.750
Na: 0.375 0.750 0.625
I: 0.750 0.625 0.375
I: 0.625 0.750 0.875
I: 0.000 0.500 0.000
Rb: 0.461 0.788 0.873
I: 0.500 0.500 0.500
Rb: 0.873 0.288 0.461
Na: 0.250 0.125 0.375
Rb: 0.288 0.414 0.827
I: 0.000 0.000 0.500
Rb: 0.873 0.586 0.913
Rb: 0.327 0.788 0.414
I: 0.875 0.625 0.750
Rb: 0.087 0.914 0.127
Rb: 0.586 0.873 0.413
Rb: 0.627 0.039 0.212
Na: 0.750 0.875 0.625
Rb: 0.173 0.086 0.712
Rb: 0.212 0.673 0.086
Rb: 0.673 0.461 0.587
Rb: 0.086 0.173 0.212
Rb: 0.827 0.913 0.039
I: 0.500 0.000 0.500
I: 0.125 0.375 0.250
Rb: 0.414 0.127 0.587
I: 0.250 0.375 0.625
Rb: 0.173 0.087 0.961
Na: 0.875 0.750 0.125
Rb: 0.914 0.087 0.627
Rb: 0.914 0.827 0.788
Rb: 0.587 0.627 0.414
Na: 0.625 0.250 0.375
Rb: 0.586 0.712 0.673
Rb: 0.961 0.587 0.173
Rb: 0.539 0.327 0.913
I: 0.250 0.875 0.125
I: 0.375 0.250 0.125
Rb: 0.913 0.827 0.539
Rb: 0.827 0.914 0.288
Rb: 0.288 0.873 0.961
Na: 0.875 0.125 0.250
Rb: 0.913 0.086 0.873
I: 0.500 0.500 0.000
Rb: 0.087 0.173 0.461
Rb: 0.539 0.212 0.127
I: 0.375 0.125 0.750
Na: 0.750 0.375 0.125
Na: 0.125 0.250 0.875
I: 0.000 0.000 0.000

For the raw total energy, the calculation gives -0.066 hartree per atom. The calculation puts the uncorrected formation energy at -0.628 eV per atom. The total moment is 0.00 Bohr magnetons per cell. The volume is 6077.0 Å³/cell. Its symmetry is Ia-3d.

---

# 2
Compound: V7Cr2Os3
Source: Alexandria via LeMat-Bulk
Functional: GGA-PBE
Structure: relaxed

Lattice parameters (Å, degrees): 4.200 4.127 10.337 101.51 90.00 90.00
Fractional coordinates of all 12 atoms:
Os: 0.500 0.351 0.702
Os: 0.500 0.500 0.000
V: 0.000 0.427 0.853
V: 0.000 0.000 0.000
V: 0.000 0.573 0.147
V: 0.000 0.714 0.427
Cr: 0.000 0.853 0.707
V: 0.000 0.286 0.573
Os: 0.500 0.649 0.298
Cr: 0.000 0.147 0.293
V: 0.500 0.078 0.155
V: 0.500 0.922 0.845

For the raw total energy, the calculation gives -0.352 hartree per atom. The total moment is 0.00 Bohr magnetons per cell. The volume is 175.6 Å³/cell. Its energy relative to the elements is 172 kJ/mol of formula units. Its symmetry is Cmmm.

---

# 3
Compound: SrTeRu2
Source: Alexandria via LeMat-Bulk
Functional: GGA-PBE
Structure: relaxed

Lattice parameters (Å, degrees): 4.362 4.362 6.345 69.91 69.91 59.99
Fractional coordinates of all 4 atoms:
Ru: 0.695 0.695 0.916
Te: 0.289 0.289 0.132
Ru: 0.027 0.027 0.918
Sr: 0.489 0.489 0.534

For the raw total energy, the calculation gives -0.220 hartree per atom. The calculation puts the uncorrected formation energy at -0.133 eV per atom. The total moment is 0.00 Bohr magnetons per cell. The volume is 96.0 Å³/cell. Its symmetry is R3m.

---

# 4
Compound: AlSn3Br
Source: Alexandria via LeMat-Bulk
Functional: GGA-PBE
Structure: relaxed

Lattice parameters (Å, degrees): 5.390 5.390 5.390 90.00 90.00 90.00
Fractional coordinates of all 5 atoms:
Sn: 0.000 0.500 0.000
Sn: 0.000 0.000 0.500
Br: 0.500 0.500 0.500
Sn: 0.500 0.000 0.000
Al: 0.000 0.000 0.000

For the raw total energy, the calculation gives -0.117 hartree per atom. The calculation puts the uncorrected formation energy at 0.303 eV per atom. The total moment is 0.00 Bohr magnetons per cell. The calculation puts the energy above the most stable polymorph in this dataset at 0 meV per atom. The volume is 156.6 Å³/cell. Its symmetry is Pm-3m.

---

# 5
Compound: AsAuSe2
Source: Alexandria via LeMat-Bulk
Functional: GGA-PBE
Structure: relaxed

Lattice parameters (Å, degrees): 3.702 3.703 8.227 90.00 90.00 90.00
Fractional coordinates of all 4 atoms:
Se: 0.500 0.500 0.000
Au: 0.000 0.500 0.500
As: 0.500 0.000 0.500
Se: 0.000 0.000 0.000

For the raw total energy, the calculation gives -0.122 hartree per atom. The calculation puts the uncorrected formation energy at 0.393 eV per atom. The total moment is 0.43 Bohr magnetons per cell. The volume is 112.8 Å³/cell. Its symmetry is P4/mmm.

---

# 6
Compound: Ag2PbSe
Source: Alexandria via LeMat-Bulk
Functional: GGA-PBE
Structure: relaxed

Lattice parameters (Å, degrees): 4.239 4.239 6.636 69.99 69.99 63.07
Fractional coordinates of all 4 atoms:
Ag: 0.268 0.268 0.208
Se: 0.721 0.721 0.812
Ag: 0.001 0.001 0.993
Pb: 0.510 0.510 0.486

For the raw total energy, the calculation gives -0.118 hartree per atom. The calculation puts the uncorrected formation energy at 0.012 eV per atom. The total moment is 0.00 Bohr magnetons per cell. The volume is 97.4 Å³/cell. Its symmetry is Cm.

---

# 7
Compound: LiAcMg2Au4
Source: Alexandria via LeMat-Bulk
Functional: GGA-PBE
Structure: relaxed

Lattice parameters (Å, degrees): 4.664 4.664 9.434 75.69 75.69 60.00
Fractional coordinates of all 8 atoms:
Ac: 0.000 0.000 0.000
Li: 0.500 0.500 0.500
Au: 0.872 0.872 0.384
Mg: 0.232 0.232 0.305
Au: 0.598 0.598 0.206
Mg: 0.768 0.768 0.695
Au: 0.402 0.402 0.794
Au: 0.128 0.128 0.616

For the raw total energy, the calculation gives -0.127 hartree per atom. The total moment is 0.00 Bohr magnetons per cell. The volume is 170.4 Å³/cell. Its energy relative to the elements is -507 kJ/mol of formula units. Its symmetry is R-3m.

---

# 8
Compound: K3TlO8
Source: Alexandria via LeMat-Bulk
Functional: GGA-PBE
Structure: relaxed

Lattice parameters (Å, degrees): 6.760 6.760 6.760 100.50 114.14 114.14
Fractional coordinates of all 12 atoms:
O: 0.000 0.423 0.920
O: 0.503 0.080 0.080
O: 0.000 0.580 0.077
O: 0.000 0.920 0.423
K: 0.500 0.250 0.750
O: 0.497 0.577 0.577
Tl: 0.000 0.000 0.000
O: 0.000 0.077 0.580
K: 0.000 0.500 0.500
K: 0.500 0.750 0.250
O: 0.503 0.923 0.923
O: 0.497 0.420 0.420

For the raw total energy, the calculation gives -0.164 hartree per atom. The calculation puts the uncorrected formation energy at -0.686 eV per atom. The total moment is 4.00 Bohr magnetons per cell. The volume is 233.5 Å³/cell. Its symmetry is I-42m.

---

# 9
Compound: Na3SnCl6
Source: Alexandria via LeMat-Bulk
Functional: GGA-PBE
Structure: relaxed

Lattice parameters (Å, degrees): 7.041 7.041 7.498 61.99 61.99 60.00
Fractional coordinates of all 10 atoms:
Cl: 0.579 0.219 0.251
Cl: 0.750 0.050 0.739
Na: 0.151 0.151 0.546
Cl: 0.951 0.579 0.251
Sn: 0.842 0.842 0.473
Cl: 0.462 0.750 0.739
Cl: 0.050 0.462 0.739
Na: 0.644 0.644 0.069
Na: 0.353 0.353 0.942
Cl: 0.219 0.951 0.251

For the raw total energy, the calculation gives -0.122 hartree per atom. The calculation puts the uncorrected formation energy at -1.424 eV per atom. The total moment is 0.58 Bohr magnetons per cell. The calculation puts the energy above the most stable polymorph in this dataset at 0 meV per atom. The volume is 270.5 Å³/cell. Its symmetry is R3.

---

# 10
Compound: CsSr2SbS4
Source: Alexandria via LeMat-Bulk
Functional: GGA-PBE
Structure: relaxed

Lattice parameters (Å, degrees): 8.716 8.716 8.578 119.48 119.48 90.00
Fractional coordinates of all 16 atoms:
Sr: 0.500 0.000 0.500
Sb: 0.500 0.500 0.500
S: 0.746 0.200 0.973
S: 0.739 0.761 0.991
Cs: 0.000 0.500 0.500
Sr: 0.500 0.500 0.000
Sr: 0.500 0.000 0.000
S: 0.739 0.761 0.509
Cs: 0.000 0.500 0.000
S: 0.261 0.239 0.009
Sb: 0.000 0.000 0.000
S: 0.300 0.754 0.527
S: 0.261 0.239 0.491
S: 0.254 0.800 0.027
Sr: 0.000 0.000 0.500
S: 0.700 0.246 0.473

For the raw total energy, the calculation gives -0.158 hartree per atom. The calculation puts the uncorrected formation energy at -1.199 eV per atom. The total moment is 0.00 Bohr magnetons per cell. The volume is 467.9 Å³/cell. Its symmetry is Imma.

---

# 11
Compound: Y2IrSe
Source: Alexandria via LeMat-Bulk
Functional: GGA-PBE
Structure: relaxed

Lattice parameters (Å, degrees): 6.517 6.517 7.621 64.69 64.69 90.00
Fractional coordinates of all 8 atoms:
Y: 0.105 0.625 0.250
Ir: 0.750 0.250 0.500
Y: 0.375 0.355 0.750
Se: 0.500 0.500 0.000
Ir: 0.000 0.000 0.000
Y: 0.645 0.125 0.250
Y: 0.875 0.895 0.750
Se: 0.250 0.750 0.500

For the raw total energy, the calculation gives -0.259 hartree per atom. The calculation puts the uncorrected formation energy at -0.718 eV per atom. The total moment is 0.00 Bohr magnetons per cell. The volume is 257.8 Å³/cell. Its symmetry is I-42d.

---

# 12
Compound: RbNa2Cr
Source: Alexandria via LeMat-Bulk
Functional: GGA-PBE
Structure: relaxed

Lattice parameters (Å, degrees): 5.997 5.997 5.997 60.00 60.00 60.00
Fractional coordinates of all 4 atoms:
Rb: 0.500 0.500 0.500
Na: 0.750 0.750 0.750
Na: 0.250 0.250 0.250
Cr: 0.000 0.000 0.000

For the raw total energy, the calculation gives -0.098 hartree per atom. The total moment is 5.08 Bohr magnetons per cell. The calculation puts the energy above the most stable polymorph in this dataset at 0 meV per atom. The volume is 152.5 Å³/cell. Its energy relative to the elements is 247 kJ/mol of formula units. Its symmetry is Fm-3m.

---

# 13
Compound: Ba2TlAu2
Source: Alexandria via LeMat-Bulk
Functional: GGA-PBE
Structure: relaxed

Lattice parameters (Å, degrees): 4.032 4.032 10.630 79.07 79.07 90.00
Fractional coordinates of all 5 atoms:
Ba: 0.383 0.383 0.233
Ba: 0.617 0.617 0.767
Tl: 0.000 0.000 0.000
Au: 0.250 0.750 0.500
Au: 0.750 0.250 0.500

For the raw total energy, the calculation gives -0.109 hartree per atom. The total moment is 0.00 Bohr magnetons per cell. The volume is 166.4 Å³/cell. Its energy relative to the elements is -203 kJ/mol of formula units. Its symmetry is I4/mmm.

---

# 14
Compound: La2Ag2Pd
Source: Alexandria via LeMat-Bulk
Functional: GGA-PBE
Structure: relaxed

Lattice parameters (Å, degrees): 3.834 3.834 9.214 77.99 77.99 90.00
Fractional coordinates of all 5 atoms:
La: 0.596 0.596 0.808
Pd: 0.000 0.000 0.000
Ag: 0.750 0.250 0.500
La: 0.404 0.404 0.192
Ag: 0.250 0.750 0.500

For the raw total energy, the calculation gives -0.163 hartree per atom. The total moment is 0.00 Bohr magnetons per cell. The calculation puts the energy above the most stable polymorph in this dataset at 159 meV per atom. The volume is 129.4 Å³/cell. Its energy relative to the elements is -143 kJ/mol of formula units. Its symmetry is I4/mmm.

---

# 15
Compound: Ac2PrGa3Au12
Source: Alexandria via LeMat-Bulk
Functional: GGA-PBE
Structure: relaxed

Lattice parameters (Å, degrees): 11.117 11.117 11.117 36.70 36.70 36.70
Fractional coordinates of all 18 atoms:
Au: 0.407 0.814 0.407
Au: 0.868 0.443 0.868
Ga: 0.000 0.000 0.500
Ga: 0.500 0.000 0.000
Au: 0.868 0.868 0.443
Au: 0.593 0.186 0.593
Au: 0.593 0.593 0.186
Au: 0.132 0.132 0.557
Ac: 0.637 0.637 0.637
Au: 0.407 0.407 0.814
Au: 0.814 0.407 0.407
Ga: 0.000 0.500 0.000
Ac: 0.363 0.363 0.363
Pr: 0.000 0.000 0.000
Au: 0.443 0.868 0.868
Au: 0.186 0.593 0.593
Au: 0.557 0.132 0.132
Au: 0.132 0.557 0.132

For the raw total energy, the calculation gives -0.138 hartree per atom. The total moment is 0.00 Bohr magnetons per cell. The volume is 439.5 Å³/cell. Its energy relative to the elements is -604 kJ/mol of formula units. Its symmetry is R-3m.

---

# 16
Compound: P2HS6
Source: Alexandria via LeMat-Bulk
Functional: GGA-PBE
Structure: relaxed

Lattice parameters (Å, degrees): 5.773 9.589 9.589 99.74 71.77 71.77
Fractional coordinates of all 18 atoms:
S: 0.402 0.744 0.628
H: 0.750 0.912 0.088
P: 0.200 0.669 0.812
P: 0.300 0.188 0.331
S: 0.902 0.628 0.744
S: 0.926 0.162 0.986
S: 0.603 0.528 0.171
S: 0.598 0.256 0.372
S: 0.103 0.171 0.528
S: 0.098 0.372 0.256
H: 0.250 0.088 0.912
P: 0.800 0.331 0.188
S: 0.426 0.986 0.162
S: 0.397 0.472 0.829
S: 0.074 0.838 0.014
S: 0.574 0.014 0.838
S: 0.897 0.829 0.472
P: 0.700 0.812 0.669

For the raw total energy, the calculation gives -0.159 hartree per atom. The total moment is 1.66 Bohr magnetons per cell. The volume is 457.4 Å³/cell. Its symmetry is C2/c.

---

# 17
Compound: Er2PuN
Source: Alexandria via LeMat-Bulk
Functional: GGA-PBE
Structure: relaxed

Lattice parameters (Å, degrees): 3.374 3.374 9.589 79.87 79.87 60.00
Fractional coordinates of all 4 atoms:
Er: 0.119 0.119 0.643
N: 0.500 0.500 0.500
Er: 0.881 0.881 0.357
Pu: 0.000 0.000 0.000

For the raw total energy, the calculation gives -0.315 hartree per atom. The calculation puts the uncorrected formation energy at -0.615 eV per atom. The total moment is 5.93 Bohr magnetons per cell. The calculation puts the energy above the most stable polymorph in this dataset at 0 meV per atom. The volume is 92.6 Å³/cell. Its symmetry is R-3m.

---

# 18
Compound: Ac3La4PuN8
Source: Alexandria via LeMat-Bulk
Functional: GGA-PBE
Structure: relaxed

Lattice parameters (Å, degrees): 7.571 7.532 7.561 119.82 120.05 90.00
Fractional coordinates of all 16 atoms:
N: 0.784 0.727 0.006
La: 0.000 0.000 0.000
Ac: 0.500 0.500 0.000
Pu: 0.000 0.500 0.000
N: 0.266 0.773 0.532
La: 0.000 0.000 0.500
La: 0.500 0.000 0.000
Ac: 0.500 0.500 0.500
N: 0.754 0.762 0.508
N: 0.734 0.227 0.468
Ac: 0.000 0.500 0.500
N: 0.216 0.273 0.994
N: 0.246 0.238 0.492
La: 0.500 0.000 0.500
N: 0.779 0.273 0.994
N: 0.221 0.727 0.006

For the raw total energy, the calculation gives -0.302 hartree per atom. The calculation puts the uncorrected formation energy at -1.160 eV per atom. The total moment is 4.57 Bohr magnetons per cell. The volume is 305.5 Å³/cell. Its symmetry is C2/m.

---

# 19
Compound: MgIn9Ga2
Source: Alexandria via LeMat-Bulk
Functional: GGA-PBE
Structure: relaxed

Lattice parameters (Å, degrees): 4.447 4.447 15.389 90.00 89.96 89.99
Fractional coordinates of all 12 atoms:
Ga: 0.999 0.000 0.328
Mg: 0.000 0.000 0.000
In: 0.000 0.500 0.500
In: 0.000 0.500 0.833
In: 0.500 0.500 0.000
In: 0.499 0.500 0.333
In: 0.501 0.500 0.667
Ga: 0.001 0.000 0.672
In: 0.500 0.000 0.500
In: 0.500 0.000 0.167
In: 0.500 0.000 0.833
In: 0.000 0.500 0.167

For the raw total energy, the calculation gives -0.098 hartree per atom. The total moment is 0.00 Bohr magnetons per cell. The volume is 304.3 Å³/cell. Its energy relative to the elements is 22 kJ/mol of formula units. Its symmetry is P2/m.

---

# 20
Compound: LiSb2Ru
Source: Alexandria via LeMat-Bulk
Functional: GGA-PBE
Structure: relaxed

Lattice parameters (Å, degrees): 8.910 8.910 8.910 21.60 21.60 21.60
Fractional coordinates of all 4 atoms:
Li: 0.492 0.492 0.492
Ru: 0.749 0.749 0.749
Sb: 0.244 0.244 0.244
Sb: 0.016 0.016 0.016

For the raw total energy, the calculation gives -0.171 hartree per atom. The calculation puts the uncorrected formation energy at 0.207 eV per atom. The total moment is 0.00 Bohr magnetons per cell. The calculation puts the energy above the most stable polymorph in this dataset at 396 meV per atom. The volume is 84.0 Å³/cell. Its symmetry is R3m.